1.
CrFe2Ag PBE optimized geometry; SG = No. 65; N(E_F) = 4.04 states/eV/f.u.; energy above the lowest structure with this stoichiometry = 0.000 eV/f.u.; calculated total energy = -0.258 hartree per atom
1.0
-0.073 -1.961 1.663
-1.157 -0.713 -2.184
7.378 -2.810 -2.991
Ag Cr Fe
1 1 2
Direct
0.500 0.500 0.250 Ag
0.500 0.500 0.750 Cr
0.000 0.000 0.976 Fe
0.000 0.000 0.524 Fe

=====

2.
Y3Ho7Er PBE optimized geometry; SG = No. 12; N(E_F) = 16.39 states/eV/f.u.; energy above the lowest structure with this stoichiometry = 1.372 eV/f.u.; calculated total energy = -0.177 hartree per atom
1.0
-5.400 -0.116 2.012
5.078 -4.298 5.111
4.117 6.591 3.160
Y Ho Er
3 7 1
Direct
0.500 0.000 0.000 Y
0.000 0.207 0.793 Y
0.000 0.793 0.207 Y
0.000 0.500 0.500 Ho
0.300 0.002 0.599 Ho
0.789 0.790 0.790 Ho
0.700 0.401 0.998 Ho
0.300 0.599 0.002 Ho
0.211 0.210 0.210 Ho
0.700 0.998 0.401 Ho
0.500 0.500 0.500 Er

=====

3.
Ti7Pd2C2 PBE optimized geometry; SG = No. 65; N(E_F) = 12.76 states/eV/f.u.; calculated total energy = -0.292 hartree per atom
1.0
-1.734 2.482 4.451
-2.304 -4.999 1.890
4.899 -1.720 1.422
Ti Pd C
7 2 2
Direct
0.000 0.000 0.000 Ti
0.500 0.772 0.500 Ti
0.500 0.767 0.000 Ti
0.000 0.767 0.500 Ti
0.500 0.233 0.000 Ti
0.500 0.228 0.500 Ti
0.000 0.233 0.500 Ti
0.187 0.500 0.187 Pd
0.813 0.500 0.813 Pd
0.725 0.000 0.275 C
0.275 0.000 0.725 C

=====

4.
TbLuGe2 PBE optimized geometry; SG = No. 166; N(E_F) = 3.70 states/eV/f.u.; calculated total energy = -0.192 hartree per atom
1.0
-0.955 1.337 -3.501
-3.543 -0.639 -1.414
-3.899 6.660 1.471
Lu Ge Tb
1 2 1
Direct
0.500 0.500 0.500 Lu
0.248 0.248 0.256 Ge
0.752 0.752 0.744 Ge
0.000 0.000 0.000 Tb

=====

5.
CrTcHg2 PBE optimized geometry; SG = No. 12; N(E_F) = 3.48 states/eV/f.u.; energy above the lowest structure with this stoichiometry = 1.256 eV/f.u.; calculated total energy = -0.166 hartree per atom
1.0
5.011 -0.075 0.037
4.111 2.866 0.037
0.902 0.276 4.975
Hg Tc Cr
2 1 1
Direct
0.501 0.501 0.500 Hg
0.999 0.999 0.000 Hg
0.750 0.750 0.750 Tc
0.250 0.250 0.250 Cr

=====

6.
TlRh4O8 PBE optimized geometry; SG = No. 216; ΔE_f (raw) = -64.56 kJ per mole of atoms; N(E_F) = 15.64 states/eV/f.u.; calculated total energy = -0.227 hartree per atom
1.0
5.470 0.000 3.158
1.823 5.158 3.158
0.000 0.000 6.317
O Rh Tl
8 4 1
Direct
0.604 0.604 0.604 O
0.604 0.187 0.604 O
0.559 0.147 0.147 O
0.147 0.147 0.559 O
0.147 0.559 0.147 O
0.187 0.604 0.604 O
0.147 0.147 0.147 O
0.604 0.604 0.187 O
0.883 0.372 0.372 Rh
0.372 0.372 0.883 Rh
0.372 0.883 0.372 Rh
0.372 0.372 0.372 Rh
0.750 0.750 0.750 Tl

=====

What is the calculated total energy in the sixth record?
-0.227 hartree per atom

=====

Among the records above, which one has the highest N(E_F)?
Y3Ho7Er